1.
Entry from Alexandria: an optimized crystal structure of SbI2ClO (PBE).

abc: 6.108 6.108 4.031
angles: 90.00 90.00 90.00
Atoms (fractional coordinates):
1 I 0.000 0.500 0.000
2 Cl 0.500 0.500 0.500
3 Sb 0.000 0.000 0.000
4 O 0.000 0.000 0.500
5 I 0.500 0.000 0.000

Output
Its total magnetization is 1.257 μB per formula unit. The calculation puts the calculated total energy at -0.1067 Ha/atom. Its energy relative to the elements, uncorrected is -2.26 kcal/mol of atoms. The value obtained for the energy relative to the lowest polymorph listed for this composition is 0.00 eV per formula unit.

---

2.
Entry from Alexandria: an optimized crystal structure of SbI2ClO (PBE).

abc: 5.266 5.266 4.640
angles: 90.00 90.00 90.00
Atoms (fractional coordinates):
1 I 0.000 0.500 0.000
2 O 0.000 0.000 0.000
3 I 0.500 0.000 0.000
4 Sb 0.000 0.000 0.500
5 Cl 0.500 0.500 0.500

Output
Its total magnetization is 0.000 μB per formula unit. The calculation puts the calculated total energy at -0.0925 Ha/atom. Its energy relative to the elements, uncorrected is 6.63 kcal/mol of atoms. The value obtained for the energy relative to the lowest polymorph listed for this composition is 1.93 eV per formula unit.

---

3.
Entry from Alexandria: an optimized crystal structure of Sb2IClO (PBE).

abc: 4.805 4.805 5.267
angles: 90.00 90.00 90.00
Atoms (fractional coordinates):
1 I 0.000 0.000 0.500
2 Sb 0.500 0.000 0.000
3 Sb 0.000 0.500 0.000
4 O 0.000 0.000 0.000
5 Cl 0.500 0.500 0.500

Output
Its total magnetization is 0.000 μB per formula unit. The calculation puts the calculated total energy at -0.1160 Ha/atom. Its energy relative to the elements, uncorrected is 3.74 kcal/mol of atoms. The value obtained for the energy relative to the lowest polymorph listed for this composition is 0.00 eV per formula unit.

---

4.
Entry from Alexandria: an optimized crystal structure of SmIClO4 (PBE).

abc: 6.375 6.375 6.858
angles: 81.79 81.79 70.33
Atoms (fractional coordinates):
1 Cl 0.974 0.974 0.769
2 Sm 0.215 0.215 0.884
3 I 0.629 0.629 0.696
4 O 0.553 0.553 0.215
5 O 0.235 0.235 0.531
6 O 0.133 0.489 0.149
7 O 0.511 0.867 0.851
8 O 0.867 0.511 0.851
9 O 0.447 0.447 0.785
10 O 0.489 0.133 0.149
11 Cl 0.026 0.026 0.231
12 O 0.765 0.765 0.469
13 Sm 0.785 0.785 0.116
14 I 0.371 0.371 0.304

Output
Its total magnetization is 1.000 μB per formula unit. The calculation puts the calculated total energy at -0.1951 Ha/atom. Its energy relative to the elements, uncorrected is -30.34 kcal/mol of atoms.

---

5.
Entry from Alexandria: an optimized crystal structure of SnIClO2 (PBE).

abc: 4.447 4.447 5.092
angles: 90.00 90.00 90.00
Atoms (fractional coordinates):
1 Sn 0.500 0.500 0.500
2 Cl 0.000 0.000 0.000
3 I 0.000 0.000 0.500
4 O 0.000 0.500 0.000
5 O 0.500 0.000 0.000

Output
Its total magnetization is 0.706 μB per formula unit. The calculation puts the calculated total energy at -0.1011 Ha/atom. Its energy relative to the elements, uncorrected is 16.42 kcal/mol of atoms. The value obtained for the energy relative to the lowest polymorph listed for this composition is 5.51 eV per formula unit.

---

6.
Entry from Alexandria: an optimized crystal structure of SnIClO2 (PBE).

abc: 4.026 4.026 6.723
angles: 90.00 90.00 90.00
Atoms (fractional coordinates):
1 O 0.500 0.000 0.000
2 I 0.000 0.000 0.500
3 Sn 0.000 0.000 0.000
4 Cl 0.500 0.500 0.500
5 O 0.000 0.500 0.000

Output
Its total magnetization is 0.009 μB per formula unit. The calculation puts the calculated total energy at -0.1416 Ha/atom. Its energy relative to the elements, uncorrected is -9.02 kcal/mol of atoms. The value obtained for the energy relative to the lowest polymorph listed for this composition is 0.00 eV per formula unit.

---

7.
Entry from Alexandria: an optimized crystal structure of Sr2IClO (PBE).

abc: 4.252 8.582 8.987
angles: 78.97 76.32 75.66
Atoms (fractional coordinates):
1 Sr 0.415 0.858 0.312
2 Sr 0.585 0.142 0.688
3 Sr 0.131 0.792 0.947
4 O 0.053 0.070 0.824
5 Cl 0.639 0.605 0.118
6 I 0.189 0.248 0.375
7 Sr 0.869 0.208 0.053
8 O 0.947 0.930 0.176
9 Cl 0.361 0.395 0.882
10 I 0.811 0.752 0.625

Output
Its total magnetization is 0.000 μB per formula unit. The calculation puts the calculated total energy at -0.1719 Ha/atom. Its energy relative to the elements, uncorrected is -53.82 kcal/mol of atoms.

---

8.
Entry from Alexandria: an optimized crystal structure of TbIClO4 (PBE).

abc: 6.288 6.288 6.776
angles: 81.72 81.72 70.06
Atoms (fractional coordinates):
1 O 0.233 0.233 0.535
2 Tb 0.785 0.785 0.115
3 O 0.555 0.555 0.214
4 Cl 0.024 0.024 0.231
5 Cl 0.976 0.976 0.769
6 I 0.629 0.629 0.694
7 I 0.371 0.371 0.306
8 O 0.510 0.871 0.853
9 O 0.129 0.490 0.147
10 Tb 0.215 0.215 0.885
11 O 0.767 0.767 0.465
12 O 0.490 0.129 0.147
13 O 0.871 0.510 0.853
14 O 0.445 0.445 0.786

Output
Its total magnetization is 1.000 μB per formula unit. The calculation puts the calculated total energy at -0.1950 Ha/atom. Its energy relative to the elements, uncorrected is -30.57 kcal/mol of atoms.

---

9.
Entry from Alexandria: an optimized crystal structure of Tb3ICl2O6 (PBE).

abc: 5.501 6.752 6.822
angles: 119.66 81.13 90.00
Atoms (fractional coordinates):
1 O 0.669 0.829 0.657
2 O 0.708 0.314 0.128
3 Tb 0.500 0.500 0.500
4 O 0.292 0.686 0.872
5 I 0.500 0.000 0.000
6 O 0.292 0.186 0.872
7 Cl 0.155 0.702 0.404
8 Tb 0.500 0.000 0.500
9 O 0.331 0.171 0.343
10 O 0.708 0.814 0.128
11 Tb 0.000 0.500 0.000
12 Cl 0.845 0.298 0.596

Output
Its total magnetization is 0.000 μB per formula unit. The calculation puts the calculated total energy at -0.2255 Ha/atom. Its energy relative to the elements, uncorrected is -47.58 kcal/mol of atoms.

---

10.
Entry from Alexandria: an optimized crystal structure of TiIClO2 (PBE).

abc: 3.892 3.892 6.106
angles: 90.00 90.00 90.00
Atoms (fractional coordinates):
1 Ti 0.000 0.000 0.000
2 Cl 0.500 0.500 0.500
3 I 0.000 0.000 0.500
4 O 0.500 0.000 0.000
5 O 0.000 0.500 0.000

Output
Its total magnetization is 0.000 μB per formula unit. The calculation puts the calculated total energy at -0.2002 Ha/atom. Its energy relative to the elements, uncorrected is -27.79 kcal/mol of atoms. The value obtained for the energy relative to the lowest polymorph listed for this composition is 0.00 eV per formula unit.

---

11.
Entry from Alexandria: an optimized crystal structure of Tl4IClO (PBE).

abc: 7.678 7.282 9.264
angles: 90.00 106.39 90.00
Atoms (fractional coordinates):
1 Tl 0.615 0.250 0.423
2 Cl 0.300 0.250 0.570
3 Tl 0.982 0.500 0.282
4 O 0.189 0.750 0.328
5 Tl 0.018 0.500 0.718
6 Cl 0.700 0.750 0.430
7 Tl 0.982 0.000 0.282
8 I 0.797 0.750 0.947
9 Tl 0.018 0.000 0.718
10 O 0.811 0.250 0.672
11 Tl 0.345 0.750 0.138
12 Tl 0.385 0.750 0.577
13 I 0.203 0.250 0.053
14 Tl 0.655 0.250 0.862

Output
Its total magnetization is 0.000 μB per formula unit. The calculation puts the calculated total energy at -0.1201 Ha/atom. Its energy relative to the elements, uncorrected is -16.68 kcal/mol of atoms.

---

12.
Entry from Alexandria: an optimized crystal structure of TmIClO4 (PBE).

abc: 6.199 6.199 6.694
angles: 81.73 81.73 69.72
Atoms (fractional coordinates):
1 O 0.557 0.557 0.212
2 I 0.371 0.371 0.307
3 Tm 0.784 0.784 0.114
4 O 0.874 0.510 0.854
5 O 0.769 0.769 0.460
6 Tm 0.216 0.216 0.886
7 Cl 0.977 0.977 0.770
8 O 0.231 0.231 0.540
9 O 0.510 0.874 0.854
10 I 0.629 0.629 0.693
11 O 0.490 0.126 0.146
12 Cl 0.023 0.023 0.230
13 O 0.126 0.490 0.146
14 O 0.443 0.443 0.788

Output
Its total magnetization is 1.009 μB per formula unit. The calculation puts the calculated total energy at -0.1941 Ha/atom. Its energy relative to the elements, uncorrected is -30.55 kcal/mol of atoms.

---

13.
Entry from Alexandria: an optimized crystal structure of YIClO4 (PBE).

abc: 6.280 6.280 6.769
angles: 81.70 81.70 70.03
Atoms (fractional coordinates):
1 O 0.767 0.767 0.464
2 O 0.871 0.511 0.853
3 Cl 0.024 0.024 0.231
4 O 0.555 0.555 0.214
5 Y 0.785 0.785 0.115
6 I 0.371 0.371 0.306
7 Cl 0.976 0.976 0.769
8 O 0.511 0.871 0.853
9 O 0.129 0.489 0.147
10 Y 0.215 0.215 0.885
11 I 0.629 0.629 0.694
12 O 0.233 0.233 0.536
13 O 0.445 0.445 0.786
14 O 0.489 0.129 0.147

Output
Its total magnetization is 1.001 μB per formula unit. The calculation puts the calculated total energy at -0.2041 Ha/atom. Its energy relative to the elements, uncorrected is -30.24 kcal/mol of atoms.

---

14.
Entry from Alexandria: an optimized crystal structure of Os2I2Cl (PBE).

abc: 4.077 4.077 7.939
angles: 75.12 75.12 90.00
Atoms (fractional coordinates):
1 I 0.360 0.360 0.280
2 Os 0.750 0.250 0.500
3 I 0.640 0.640 0.720
4 Os 0.250 0.750 0.500
5 Cl 0.000 0.000 0.000

Output
Its total magnetization is 0.000 μB per formula unit. The calculation puts the calculated total energy at -0.1770 Ha/atom. Its energy relative to the elements, uncorrected is 15.35 kcal/mol of atoms. The value obtained for the energy relative to the lowest polymorph listed for this composition is 0.00 eV per formula unit.

---

15.
Entry from Alexandria: an optimized crystal structure of Os3ICl (PBE).

abc: 4.493 4.493 4.493
angles: 90.00 90.00 90.00
Atoms (fractional coordinates):
1 Os 0.000 0.000 0.500
2 Cl 0.000 0.000 0.000
3 Os 0.500 0.000 0.000
4 I 0.500 0.500 0.500
5 Os 0.000 0.500 0.000

Output
Its total magnetization is 0.000 μB per formula unit. The calculation puts the calculated total energy at -0.1844 Ha/atom. Its energy relative to the elements, uncorrected is 55.36 kcal/mol of atoms. The value obtained for the energy relative to the lowest polymorph listed for this composition is 0.00 eV per formula unit.

---

16.
Entry from Alexandria: an optimized crystal structure of Os2I4Cl (PBE).

abc: 5.546 5.546 10.210
angles: 74.24 74.24 90.00
Atoms (fractional coordinates):
1 I 0.698 0.698 0.604
2 Os 0.560 0.560 0.880
3 I 0.000 0.500 0.000
4 I 0.500 0.000 0.000
5 Os 0.440 0.440 0.120
6 I 0.302 0.302 0.396
7 Cl 0.000 0.000 0.000

Output
Its total magnetization is 0.000 μB per formula unit. The calculation puts the calculated total energy at -0.1276 Ha/atom. Its energy relative to the elements, uncorrected is 20.40 kcal/mol of atoms.

---

17.
Entry from Alexandria: an optimized crystal structure of OsI2Cl2 (PBE).

abc: 6.293 6.293 8.725
angles: 90.00 90.00 90.00
Atoms (fractional coordinates):
1 I 0.835 0.335 0.500
2 Cl 0.681 0.181 0.000
3 Cl 0.819 0.681 0.000
4 I 0.335 0.165 0.500
5 I 0.665 0.835 0.500
6 Os 0.000 0.000 0.000
7 Os 0.500 0.500 0.000
8 Cl 0.319 0.819 0.000
9 Cl 0.181 0.319 0.000
10 I 0.165 0.665 0.500

Output
Its total magnetization is 0.043 μB per formula unit. The calculation puts the calculated total energy at -0.1166 Ha/atom. Its energy relative to the elements, uncorrected is 9.97 kcal/mol of atoms. The value obtained for the energy relative to the lowest polymorph listed for this composition is 0.00 eV per formula unit.

---

18.
Entry from Alexandria: an optimized crystal structure of OsICl5 (PBE).

abc: 9.173 9.174 9.994
angles: 80.66 34.98 86.01
Atoms (fractional coordinates):
1 Os 0.500 0.000 0.500
2 Cl 0.250 0.521 0.002
3 Cl 0.382 0.938 0.821
4 Os 0.000 0.000 0.000
5 Cl 0.741 0.797 0.321
6 Cl 0.750 0.479 0.998
7 Cl 0.618 0.062 0.179
8 I 0.368 0.618 0.250
9 Cl 0.978 0.748 0.502
10 Cl 0.889 0.139 0.250
11 Cl 0.111 0.861 0.750
12 I 0.632 0.382 0.750
13 Cl 0.022 0.252 0.498
14 Cl 0.259 0.203 0.679

Output
Its total magnetization is 1.309 μB per formula unit. The calculation puts the calculated total energy at -0.1233 Ha/atom. Its energy relative to the elements, uncorrected is -4.88 kcal/mol of atoms.

---

19.
Entry from Alexandria: an optimized crystal structure of Os2ICl8 (PBE).

abc: 8.333 7.303 6.705
angles: 109.05 76.67 94.37
Atoms (fractional coordinates):
1 Os 0.295 0.107 0.127
2 Cl 0.757 0.109 0.685
3 Cl 0.435 0.842 0.812
4 Cl 0.565 0.158 0.188
5 Os 0.705 0.893 0.873
6 Cl 0.345 0.299 0.912
7 Cl 0.806 0.642 0.575
8 I 0.000 0.000 0.000
9 Cl 0.194 0.358 0.425
10 Cl 0.655 0.701 0.088
11 Cl 0.243 0.891 0.315

Output
Its total magnetization is 5.061 μB per formula unit. The calculation puts the calculated total energy at -0.1388 Ha/atom. Its energy relative to the elements, uncorrected is -5.79 kcal/mol of atoms.

---

20.
Entry from Alexandria: an optimized crystal structure of Os2I2Cl (PBE).

abc: 8.160 8.160 3.176
angles: 90.00 90.00 90.00
Atoms (fractional coordinates):
1 Os 0.614 0.886 0.500
2 I 0.169 0.331 0.000
3 Os 0.886 0.386 0.500
4 I 0.331 0.831 0.000
5 Os 0.114 0.614 0.500
6 I 0.831 0.669 0.000
7 Cl 0.500 0.500 0.000
8 Os 0.386 0.114 0.500
9 I 0.669 0.169 0.000
10 Cl 0.000 0.000 0.000

Output
Its total magnetization is 0.000 μB per formula unit. The calculation puts the calculated total energy at -0.1492 Ha/atom. Its energy relative to the elements, uncorrected is 32.75 kcal/mol of atoms. The value obtained for the energy relative to the lowest polymorph listed for this composition is 3.77 eV per formula unit.